[1]
# TbYHo, relaxed, DFT PBE-GGA
data_TbYHo
_chemical_formula_sum 'Tb1 Y1 Ho1'
_cell_length_a 3.5481
_cell_length_b 3.5481
_cell_length_c 7.9586
_cell_angle_alpha 102.88
_cell_angle_beta 102.88
_cell_angle_gamma 90.00
_symmetry_space_group_name_H-M 'P 1'
_symmetry_Int_Tables_number 1
loop_
_symmetry_equiv_pos_as_xyz
'x,y,z'
loop_
_atom_site_label
_atom_site_type_symbol
_atom_site_fract_x
_atom_site_fract_y
_atom_site_fract_z
Y1 Y 0.0004 0.0004 0.0007
Ho1 Ho 0.6673 0.6673 0.3347
Tb1 Tb 0.3323 0.3323 0.6646
# space-group type: No. 107
# E above lowest polymorph: 0.0 meV/atom
# ΔE_f: 6 kJ/mol of formula units

---

[2]
# LiCuPb3, relaxed, DFT PBE-GGA
data_LiCuPb3
_chemical_formula_sum 'Li1 Cu1 Pb3'
_cell_length_a 5.3052
_cell_length_b 5.3052
_cell_length_c 5.3052
_cell_angle_alpha 90.00
_cell_angle_beta 90.00
_cell_angle_gamma 90.00
_symmetry_space_group_name_H-M 'P 1'
_symmetry_Int_Tables_number 1
loop_
_symmetry_equiv_pos_as_xyz
'x,y,z'
loop_
_atom_site_label
_atom_site_type_symbol
_atom_site_fract_x
_atom_site_fract_y
_atom_site_fract_z
Pb1 Pb 0.5000 0.0000 0.0000
Pb2 Pb 0.0000 0.5000 0.0000
Pb3 Pb 0.0000 0.0000 0.5000
Li1 Li 0.5000 0.5000 0.5000
Cu1 Cu 0.0000 0.0000 0.0000
# space-group type: No. 221
# E above lowest polymorph: 0.0 meV/atom
# ΔE_f: 94 kJ/mol of formula units

---

[3]
# PrTl2Br3Cl3, relaxed, DFT PBE-GGA
data_PrTl2Br3Cl3
_chemical_formula_sum 'Pr1 Tl2 Br3 Cl3'
_cell_length_a 4.1785
_cell_length_b 8.4223
_cell_length_c 8.4223
_cell_angle_alpha 120.00
_cell_angle_beta 90.00
_cell_angle_gamma 90.00
_symmetry_space_group_name_H-M 'P 1'
_symmetry_Int_Tables_number 1
loop_
_symmetry_equiv_pos_as_xyz
'x,y,z'
loop_
_atom_site_label
_atom_site_type_symbol
_atom_site_fract_x
_atom_site_fract_y
_atom_site_fract_z
Br1 Br 0.0000 0.3987 0.0000
Br2 Br 0.0000 0.0000 0.3987
Br3 Br 0.0000 0.6013 0.6013
Cl1 Cl 0.5000 0.0000 0.7664
Cl2 Cl 0.5000 0.2336 0.2336
Cl3 Cl 0.5000 0.7664 0.0000
Tl1 Tl 0.5000 0.3333 0.6667
Tl2 Tl 0.5000 0.6667 0.3333
Pr1 Pr 0.0000 0.0000 0.0000
# space-group type: No. 189
# formation energy without anion corrections: -11.93 eV per formula unit